*one*
VASP calculation (PBE with a Hubbard U) on NiN2F2 after structural relaxation.

**Symmetry**: No. 123

Cell lengths 3.8039, 3.8039, 4.1813 Å; angles 90.00, 90.00, 90.00 degrees
Fractional coordinates of all 5 atoms:
Ni (0.0000, 0.0000, 0.0000)
N (0.5000, 0.5000, 0.5000)
N (0.0000, 0.0000, 0.5000)
F (0.0000, 0.5000, 0.0000)
F (0.5000, 0.0000, 0.0000)

***

*two*
VASP calculation (PBE with a Hubbard U) on NiN2F2 after structural relaxation.

**Symmetry**: No. 123

Cell lengths 3.4321, 3.4321, 4.6378 Å; angles 90.00, 90.00, 90.00 degrees
Fractional coordinates of all 5 atoms:
Ni (0.5000, 0.5000, 0.5000)
N (0.0000, 0.5000, 0.0000)
N (0.5000, 0.0000, 0.0000)
F (0.0000, 0.0000, 0.0000)
F (0.0000, 0.0000, 0.5000)

***

*three*
VASP calculation (PBE with a Hubbard U) on NiN2F2 after structural relaxation.

**Symmetry**: No. 127

Cell lengths 6.4504, 6.4504, 2.3182 Å; angles 90.00, 90.00, 90.00 degrees
Fractional coordinates of all 10 atoms:
Ni (0.0000, 0.0000, 0.0000)
Ni (0.5000, 0.5000, 0.0000)
N (0.2290, 0.7290, 0.5000)
N (0.7290, 0.7710, 0.5000)
N (0.7710, 0.2710, 0.5000)
N (0.2710, 0.2290, 0.5000)
F (0.3808, 0.8808, 0.0000)
F (0.8808, 0.6192, 0.0000)
F (0.6192, 0.1192, 0.0000)
F (0.1192, 0.3808, 0.0000)

***

Stability summary - winner: *one*; margin: 940 meV per atom.

***

*one*
VASP calculation (PBE with a Hubbard U) on NiN2F after structural relaxation.

**Symmetry**: No. 122

Cell lengths 4.7256, 4.7256, 5.2264 Å; angles 63.12, 63.12, 90.00 degrees
Fractional coordinates of all 8 atoms:
Ni (0.0000, 0.0000, 0.0000)
Ni (0.7500, 0.2500, 0.5000)
N (0.7043, 0.1250, 0.2500)
N (0.0457, 0.6250, 0.2500)
N (0.3750, 0.2957, 0.7500)
N (0.8750, 0.9543, 0.7500)
F (0.5000, 0.5000, 0.0000)
F (0.2500, 0.7500, 0.5000)

***

*two*
VASP calculation (PBE with a Hubbard U) on NiN2F after structural relaxation.

**Symmetry**: No. 225

Cell lengths 3.5660, 3.5660, 3.5660 Å; angles 60.00, 60.00, 60.00 degrees
Fractional coordinates of all 4 atoms:
Ni (0.5000, 0.5000, 0.5000)
N (0.2500, 0.2500, 0.2500)
N (0.7500, 0.7500, 0.7500)
F (0.0000, 0.0000, 0.0000)

***

Stability summary - winner: *one*; margin: 553 meV per atom.

***

*one*
VASP calculation (PBE with a Hubbard U) on NiOsNF2 after structural relaxation.

**Symmetry**: No. 123

Cell lengths 4.2182, 4.2182, 3.7531 Å; angles 90.00, 90.00, 90.00 degrees
Fractional coordinates of all 5 atoms:
Ni (0.5000, 0.5000, 0.5000)
N (0.0000, 0.0000, 0.5000)
Os (0.0000, 0.0000, 0.0000)
F (0.0000, 0.5000, 0.0000)
F (0.5000, 0.0000, 0.0000)

***

*two*
VASP calculation (PBE with a Hubbard U) on NiOsNF2 after structural relaxation.

**Symmetry**: No. 123

Cell lengths 3.3795, 3.3795, 6.4210 Å; angles 90.00, 90.00, 90.00 degrees
Fractional coordinates of all 5 atoms:
Ni (0.0000, 0.0000, 0.0000)
N (0.0000, 0.0000, 0.5000)
Os (0.5000, 0.5000, 0.5000)
F (0.0000, 0.5000, 0.0000)
F (0.5000, 0.0000, 0.0000)

***

Stability summary - winner: *one*; margin: 572 meV per atom.

***

*one*
VASP calculation (PBE with a Hubbard U) on NiPN2F after structural relaxation.

**Symmetry**: No. 123

Cell lengths 3.4935, 3.4935, 3.7752 Å; angles 90.00, 90.00, 90.00 degrees
Fractional coordinates of all 5 atoms:
Ni (0.5000, 0.5000, 0.5000)
N (0.0000, 0.5000, 0.0000)
N (0.5000, 0.0000, 0.0000)
F (0.0000, 0.0000, 0.5000)
P (0.0000, 0.0000, 0.0000)

***

*two*
VASP calculation (PBE with a Hubbard U) on NiPN2F after structural relaxation.

**Symmetry**: No. 123

Cell lengths 3.8237, 3.8237, 3.7153 Å; angles 90.00, 90.00, 90.00 degrees
Fractional coordinates of all 5 atoms:
Ni (0.0000, 0.0000, 0.0000)
N (0.0000, 0.5000, 0.0000)
N (0.5000, 0.0000, 0.0000)
F (0.0000, 0.0000, 0.5000)
P (0.5000, 0.5000, 0.5000)

***

Stability summary - winner: *one*; margin: 660 meV per atom.

***

*one*
VASP calculation (PBE with a Hubbard U) on ReNiNF2 after structural relaxation.

**Symmetry**: No. 123

Cell lengths 3.4042, 3.4042, 6.4184 Å; angles 90.00, 90.00, 90.00 degrees
Fractional coordinates of all 5 atoms:
Re (0.5000, 0.5000, 0.5000)
N (0.0000, 0.0000, 0.5000)
F (0.0000, 0.5000, 0.0000)
F (0.5000, 0.0000, 0.0000)
Ni (0.0000, 0.0000, 0.0000)

***

*two*
VASP calculation (PBE with a Hubbard U) on ReNiNF2 after structural relaxation.

**Symmetry**: No. 123

Cell lengths 4.1647, 4.1647, 3.8161 Å; angles 90.00, 90.00, 90.00 degrees
Fractional coordinates of all 5 atoms:
Re (0.0000, 0.0000, 0.0000)
N (0.0000, 0.0000, 0.5000)
F (0.0000, 0.5000, 0.0000)
F (0.5000, 0.0000, 0.0000)
Ni (0.5000, 0.5000, 0.5000)

***

Stability summary - winner: *two*; margin: 605 meV per atom.

***

*one*
VASP calculation (PBE with a Hubbard U) on NiRhNF2 after structural relaxation.

**Symmetry**: No. 123

Cell lengths 3.7072, 3.7072, 4.2757 Å; angles 90.00, 90.00, 90.00 degrees
Fractional coordinates of all 5 atoms:
Ni (0.0000, 0.0000, 0.0000)
N (0.0000, 0.0000, 0.5000)
Rh (0.5000, 0.5000, 0.5000)
F (0.0000, 0.5000, 0.0000)
F (0.5000, 0.0000, 0.0000)

***

*two*
VASP calculation (PBE with a Hubbard U) on NiRhNF2 after structural relaxation.

**Symmetry**: No. 123

Cell lengths 4.3420, 4.3420, 3.6650 Å; angles 90.00, 90.00, 90.00 degrees
Fractional coordinates of all 5 atoms:
Ni (0.5000, 0.5000, 0.5000)
N (0.0000, 0.0000, 0.5000)
Rh (0.0000, 0.0000, 0.0000)
F (0.0000, 0.5000, 0.0000)
F (0.5000, 0.0000, 0.0000)

***

Stability summary - winner: *two*; margin: 23 meV per atom.

***

*one*
VASP calculation (PBE with a Hubbard U) on NiRuNF2 after structural relaxation.

**Symmetry**: No. 123

Cell lengths 4.1920, 4.1920, 3.7238 Å; angles 90.00, 90.00, 90.00 degrees
Fractional coordinates of all 5 atoms:
Ru (0.0000, 0.0000, 0.0000)
N (0.0000, 0.0000, 0.5000)
F (0.0000, 0.5000, 0.0000)
F (0.5000, 0.0000, 0.0000)
Ni (0.5000, 0.5000, 0.5000)

***

*two*
VASP calculation (PBE with a Hubbard U) on NiRuNF2 after structural relaxation.

**Symmetry**: No. 123

Cell lengths 3.4370, 3.4370, 5.9656 Å; angles 90.00, 90.00, 90.00 degrees
Fractional coordinates of all 5 atoms:
Ru (0.5000, 0.5000, 0.5000)
N (0.0000, 0.0000, 0.5000)
F (0.0000, 0.5000, 0.0000)
F (0.5000, 0.0000, 0.0000)
Ni (0.0000, 0.0000, 0.0000)

***

Stability summary - winner: *one*; margin: 469 meV per atom.

***

*one*
VASP calculation (PBE with a Hubbard U) on NiSN2F after structural relaxation.

**Symmetry**: No. 123

Cell lengths 3.8863, 3.8863, 3.7565 Å; angles 90.00, 90.00, 90.00 degrees
Fractional coordinates of all 5 atoms:
Ni (0.0000, 0.0000, 0.0000)
S (0.5000, 0.5000, 0.5000)
N (0.0000, 0.5000, 0.0000)
N (0.5000, 0.0000, 0.0000)
F (0.0000, 0.0000, 0.5000)

***

*two*
VASP calculation (PBE with a Hubbard U) on NiSN2F after structural relaxation.

**Symmetry**: No. 123

Cell lengths 3.6198, 3.6198, 6.3738 Å; angles 90.00, 90.00, 90.00 degrees
Fractional coordinates of all 5 atoms:
Ni (0.5000, 0.5000, 0.5000)
S (0.0000, 0.0000, 0.5000)
N (0.0000, 0.5000, 0.0000)
N (0.5000, 0.0000, 0.0000)
F (0.0000, 0.0000, 0.0000)

***

Stability summary - winner: *one*; margin: 1011 meV per atom.

***

*one*
VASP calculation (PBE with a Hubbard U) on NiSN2F after structural relaxation.

**Symmetry**: No. 123

Cell lengths 3.2948, 3.2948, 5.6515 Å; angles 90.00, 90.00, 90.00 degrees
Fractional coordinates of all 5 atoms:
Ni (0.5000, 0.5000, 0.5000)
S (0.0000, 0.0000, 0.0000)
N (0.0000, 0.5000, 0.0000)
N (0.5000, 0.0000, 0.0000)
F (0.0000, 0.0000, 0.5000)

***

*two*
VASP calculation (PBE with a Hubbard U) on NiSN2F after structural relaxation.

**Symmetry**: No. 123

Cell lengths 3.6027, 3.6027, 4.8981 Å; angles 90.00, 90.00, 90.00 degrees
Fractional coordinates of all 5 atoms:
Ni (0.0000, 0.0000, 0.0000)
S (0.0000, 0.0000, 0.5000)
N (0.0000, 0.5000, 0.0000)
N (0.5000, 0.0000, 0.0000)
F (0.5000, 0.5000, 0.5000)

***

Stability summary - winner: *one*; margin: 564 meV per atom.

***

*one*
VASP calculation (PBE with a Hubbard U) on NiS2NF after structural relaxation.

**Symmetry**: No. 123

Cell lengths 4.3795, 4.3795, 3.8286 Å; angles 90.00, 90.00, 90.00 degrees
Fractional coordinates of all 5 atoms:
Ni (0.5000, 0.5000, 0.5000)
S (0.0000, 0.5000, 0.0000)
S (0.5000, 0.0000, 0.0000)
N (0.0000, 0.0000, 0.5000)
F (0.0000, 0.0000, 0.0000)

***

*two*
VASP calculation (PBE with a Hubbard U) on NiS2NF after structural relaxation.

**Symmetry**: No. 123

Cell lengths 4.8000, 4.8000, 3.7905 Å; angles 90.00, 90.00, 90.00 degrees
Fractional coordinates of all 5 atoms:
Ni (0.0000, 0.0000, 0.5000)
S (0.0000, 0.5000, 0.0000)
S (0.5000, 0.0000, 0.0000)
N (0.5000, 0.5000, 0.5000)
F (0.0000, 0.0000, 0.0000)

***

*three*
VASP calculation (PBE with a Hubbard U) on NiS2NF after structural relaxation.

**Symmetry**: No. 123

Cell lengths 4.6647, 4.6647, 3.3949 Å; angles 90.00, 90.00, 90.00 degrees
Fractional coordinates of all 5 atoms:
Ni (0.0000, 0.0000, 0.0000)
S (0.0000, 0.5000, 0.0000)
S (0.5000, 0.0000, 0.0000)
N (0.0000, 0.0000, 0.5000)
F (0.5000, 0.5000, 0.5000)

***

Stability summary - winner: *three*; margin: 486 meV per atom.

***

*one*
VASP calculation (PBE with a Hubbard U) on NiSbNF2 after structural relaxation.

**Symmetry**: No. 123

Cell lengths 4.3535, 4.3535, 4.0995 Å; angles 90.00, 90.00, 90.00 degrees
Fractional coordinates of all 5 atoms:
Sb (0.0000, 0.0000, 0.0000)
N (0.0000, 0.0000, 0.5000)
F (0.0000, 0.5000, 0.0000)
F (0.5000, 0.0000, 0.0000)
Ni (0.5000, 0.5000, 0.5000)

***

*two*
VASP calculation (PBE with a Hubbard U) on NiSbNF2 after structural relaxation.

**Symmetry**: No. 123

Cell lengths 3.8126, 3.8126, 4.4030 Å; angles 90.00, 90.00, 90.00 degrees
Fractional coordinates of all 5 atoms:
Sb (0.5000, 0.5000, 0.5000)
N (0.0000, 0.0000, 0.5000)
F (0.0000, 0.5000, 0.0000)
F (0.5000, 0.0000, 0.0000)
Ni (0.0000, 0.0000, 0.0000)

***

Stability summary - winner: *two*; margin: 250 meV per atom.

***

*one*
VASP calculation (PBE with a Hubbard U) on SrNiNF2 after structural relaxation.

**Symmetry**: No. 123

Cell lengths 4.6053, 4.6053, 5.1324 Å; angles 90.00, 90.00, 90.00 degrees
Fractional coordinates of all 5 atoms:
Sr (0.0000, 0.0000, 0.0000)
N (0.0000, 0.0000, 0.5000)
F (0.0000, 0.5000, 0.0000)
F (0.5000, 0.0000, 0.0000)
Ni (0.5000, 0.5000, 0.5000)

***

*two*
VASP calculation (PBE with a Hubbard U) on SrNiNF2 after structural relaxation.

**Symmetry**: No. 123

Cell lengths 4.0952, 4.0952, 3.9771 Å; angles 90.00, 90.00, 90.00 degrees
Fractional coordinates of all 5 atoms:
Sr (0.5000, 0.5000, 0.5000)
N (0.0000, 0.0000, 0.5000)
F (0.0000, 0.5000, 0.0000)
F (0.5000, 0.0000, 0.0000)
Ni (0.0000, 0.0000, 0.0000)

***

Stability summary - winner: *two*; margin: 891 meV per atom.